# LiAl2AgTe4 (PBE-GGA, optimized geometry)
# Raw total energy (eV/cell): -58.210
data_LiAl2AgTe4
_chemical_formula_sum 'Li2 Al4 Ag2 Te8'
_cell_length_a 6.420
_cell_length_b 6.420
_cell_length_c 12.012
_cell_angle_alpha 90.00
_cell_angle_beta 90.00
_cell_angle_gamma 90.00
_symmetry_space_group_name_H-M 'I -4'
_symmetry_Int_Tables_number 82
loop_
_symmetry_equiv_pos_as_xyz
'x,y,z'
'y,-x,-z'
'-x,-y,z'
'-y,x,-z'
'x+1/2,y+1/2,z+1/2'
'y+1/2,-x+1/2,-z+1/2'
'-x+1/2,-y+1/2,z+1/2'
'-y+1/2,x+1/2,-z+1/2'
loop_
_atom_site_label
_atom_site_fract_x
_atom_site_fract_y
_atom_site_fract_z
Li1 0.000 0.000 0.000
Al1 0.000 0.000 0.500
Al2 0.000 0.500 0.750
Ag1 0.000 0.500 0.250
Te1 0.231 0.253 0.623

# LiInAgHg (PBE-GGA, optimized geometry)
# Raw total energy (eV/cell): -34.109
# Energy above the most stable polymorph in this dataset (eV per atom): 0.000
data_LiInAgHg
_chemical_formula_sum 'Li4 In4 Ag4 Hg4'
_cell_length_a 6.839
_cell_length_b 6.839
_cell_length_c 6.839
_cell_angle_alpha 90.00
_cell_angle_beta 90.00
_cell_angle_gamma 90.00
_symmetry_space_group_name_H-M 'F -4 3 m'
_symmetry_Int_Tables_number 216
_symmetry_space_group_name_Hall 'F -4 2 3'
loop_
_atom_site_label
_atom_site_fract_x
_atom_site_fract_y
_atom_site_fract_z
Li1 0.000 0.000 0.000
In1 0.000 0.000 0.500
Ag1 0.250 0.250 0.250
Hg1 0.250 0.250 0.750

# TbTaN2O (PBE-GGA, optimized geometry)
# Raw total energy (eV/cell): -272.261
data_TbTaN2O
_chemical_formula_sum 'Tb6 Ta6 N12 O6'
_cell_length_a 6.2124
_cell_length_b 6.2124
_cell_length_c 12.3638
_cell_angle_alpha 90.00
_cell_angle_beta 90.00
_cell_angle_gamma 120.00
_symmetry_space_group_name_H-M 'P 63 c m'
_symmetry_Int_Tables_number 185
_symmetry_space_group_name_Hall 'P 6c -2'
loop_
_atom_site_label
_atom_site_fract_x
_atom_site_fract_y
_atom_site_fract_z
Tb1 0.0000 0.0000 0.0000
Tb2 0.3333 0.6667 0.4676
Ta1 0.0000 0.3338 0.2300
N1 0.0000 0.3107 0.3873
N2 0.0000 0.3560 0.0733
O1 0.0000 0.0000 0.2112
O2 0.3333 0.6667 0.2420

# DyYPd (PBE-GGA, optimized geometry)
# Formation energy from the elements (kJ per mole of atoms): -61.0
# Raw total energy (eV/cell): -72.553
# Energy above the most stable polymorph in this dataset (eV per atom): 0.000
data_DyYPd
_chemical_formula_sum 'Dy4 Y4 Pd4'
_cell_length_a 7.107
_cell_length_b 4.864
_cell_length_c 8.782
_cell_angle_alpha 90.00
_cell_angle_beta 90.00
_cell_angle_gamma 90.00
_symmetry_space_group_name_H-M 'P n m a'
_symmetry_Int_Tables_number 62
loop_
_symmetry_equiv_pos_as_xyz
'x,y,z'
'-x,-y,-z'
'-x+1/2,-y,z+1/2'
'x+1/2,y,-z+1/2'
'x+1/2,-y+1/2,-z+1/2'
'-x+1/2,y+1/2,z+1/2'
'-x,y+1/2,-z'
'x,-y+1/2,z'
loop_
_atom_site_label
_atom_site_fract_x
_atom_site_fract_y
_atom_site_fract_z
Dy1 0.145 0.250 0.081
Y1 0.015 0.250 0.673
Pd1 0.244 0.250 0.405

# Tb2MgCu2 (PBE-GGA, optimized geometry)
# Raw total energy (eV/cell): -38.883
data_Tb2MgCu2
_chemical_formula_sum 'Tb4 Mg2 Cu4'
_cell_length_a 7.612
_cell_length_b 7.612
_cell_length_c 3.731
_cell_angle_alpha 90.00
_cell_angle_beta 90.00
_cell_angle_gamma 90.00
_symmetry_space_group_name_H-M 'P 4/m b m'
_symmetry_Int_Tables_number 127
_symmetry_space_group_name_Hall '-P 4 2ab'
loop_
_atom_site_label
_atom_site_fract_x
_atom_site_fract_y
_atom_site_fract_z
Tb1 0.169 0.331 0.000
Mg1 0.000 0.000 0.500
Cu1 0.124 0.624 0.500

# Rb2Hg2PdBr2Cl6 (PBE-GGA, optimized geometry)
# Raw total energy (eV/cell): -69.813
data_Rb2Hg2PdBr2Cl6
_chemical_formula_sum 'Rb4 Hg4 Pd2 Br4 Cl12'
_cell_length_a 11.724
_cell_length_b 6.989
_cell_length_c 10.051
_cell_angle_alpha 90.00
_cell_angle_beta 108.96
_cell_angle_gamma 90.00
_symmetry_space_group_name_H-M 'C 1 2/m 1'
_symmetry_Int_Tables_number 12
loop_
_symmetry_equiv_pos_as_xyz
'x,y,z'
'-x,-y,-z'
'-x,y,-z'
'x,-y,z'
'x+1/2,y+1/2,z'
'-x+1/2,-y+1/2,-z'
'-x+1/2,y+1/2,-z'
'x+1/2,-y+1/2,z'
loop_
_atom_site_label
_atom_site_fract_x
_atom_site_fract_y
_atom_site_fract_z
Rb1 0.107 0.000 0.335
Hg1 0.135 0.500 0.897
Pd1 0.000 0.500 0.500
Br1 0.090 0.500 0.199
Cl1 0.130 0.265 0.633
Cl2 0.152 0.000 0.001

# SmYBr2NCl (PBE-GGA, optimized geometry)
# Raw total energy (eV/cell): -144.397
# Energy above the most stable polymorph in this dataset (eV per atom): 0.032
data_SmYBr2NCl
_chemical_formula_sum 'Sm4 Y4 Br8 N4 Cl4'
_cell_length_a 18.326
_cell_length_b 3.897
_cell_length_c 11.552
_cell_angle_alpha 90.00
_cell_angle_beta 125.90
_cell_angle_gamma 90.00
_symmetry_space_group_name_H-M 'C 1 2/m 1'
_symmetry_Int_Tables_number 12
loop_
_symmetry_equiv_pos_as_xyz
'x,y,z'
'-x,-y,-z'
'-x,y,-z'
'x,-y,z'
'x+1/2,y+1/2,z'
'-x+1/2,-y+1/2,-z'
'-x+1/2,y+1/2,-z'
'x+1/2,-y+1/2,z'
loop_
_atom_site_label
_atom_site_fract_x
_atom_site_fract_y
_atom_site_fract_z
Sm1 0.077 0.000 0.459
Y1 0.139 0.500 0.793
Br1 0.032 0.500 0.235
Br2 0.222 0.500 0.629
N1 0.078 0.000 0.659
Cl1 0.175 0.000 0.006

# Pt (PBE-GGA, optimized geometry)
# Formation energy from the elements (kJ per mole of atoms): 4.6
# Raw total energy (eV/cell): -18.023
# Energy above the most stable polymorph in this dataset (eV per atom): 0.048
data_Pt
_chemical_formula_sum 'Pt3'
_cell_length_a 2.8836
_cell_length_b 2.8836
_cell_length_c 6.4237
_cell_angle_alpha 90.00
_cell_angle_beta 90.00
_cell_angle_gamma 120.00
_symmetry_space_group_name_H-M 'R -3 m'
_symmetry_Int_Tables_number 166
_symmetry_space_group_name_Hall '-R 3 2"'
loop_
_atom_site_label
_atom_site_fract_x
_atom_site_fract_y
_atom_site_fract_z
Pt1 0.0000 0.0000 0.0000